Material: NaCa2Pm
Method: DFT, PBE
State: relaxed

Calculated values
M_tot   0.00 μB/f.u.
VASP energy   -9.7 eV for the cell shown
Symmetry   P4/mmm, No. 123
Density   2.7 g/cm3
Formation energy from the elements   0.105 eV/atom
Energy above the most stable polymorph in this dataset   0.024 eV/atom

a = 4.190 Å, b = 4.190 Å, c = 8.623 Å
α = 90.00°, β = 90.00°, γ = 90.00°
Fractional positions:
Ca: 0.000 0.000 0.251
Ca: 0.000 0.000 0.749
Pm: 0.500 0.500 0.500
Na: 0.500 0.500 0.000


Material: Mg2BiRh4
Method: DFT, PBE
State: relaxed

Calculated values
M_tot   0.00 μB/f.u.
VASP energy   -37.1 eV for the cell shown
Symmetry   I4/mmm, No. 139
Density   9.1 g/cm3
Formation energy from the elements   -0.087 eV/atom

a = 5.412 Å, b = 5.412 Å, c = 5.412 Å
α = 111.33°, β = 108.55°, γ = 108.55°
Fractional positions:
Rh: 0.000 0.000 0.500
Rh: 0.500 0.500 0.500
Rh: 0.000 0.500 0.000
Rh: 0.500 0.000 0.000
Bi: 0.000 0.000 0.000
Mg: 0.500 0.000 0.500
Mg: 0.500 0.500 0.000